[1]
Entry from OQMD via LeMat-Bulk: a relaxed structure of Gd2Tm3Lu3 (PBE).

Unit cell a=5.5467 b=7.0962 c=7.0962 alpha=60.00 beta=90.00 gamma=90.00
With the nearest neighbours (Å) after each atom.
Atoms (fractional coordinates):
Gd (0.0000, 0.0000, 0.0000)  6 Tm 3.45-3.55, 6 Lu 3.46-3.55
Gd (0.5000, 0.3333, 0.3333)  6 Tm 3.45-3.55, 6 Lu 3.46-3.55
Tm (0.0000, 0.5010, 0.5010)  4 Tm 3.44, 4 Gd 3.45-3.55, 4 Lu 3.53-3.57
Tm (0.5000, 0.3352, 0.8323)  4 Tm 3.44-3.57, 4 Lu 3.44-3.57, 4 Gd 3.45-3.55
Tm (0.5000, 0.8323, 0.3352)  4 Tm 3.44-3.57, 4 Lu 3.44-3.57, 4 Gd 3.45-3.55
Lu (0.0000, 0.5009, 0.9980)  4 Tm 3.44-3.57, 4 Lu 3.44-3.57, 4 Gd 3.46-3.55
Lu (0.0000, 0.9980, 0.5009)  4 Tm 3.44-3.57, 4 Lu 3.44-3.57, 4 Gd 3.46-3.55
Lu (0.5000, 0.8324, 0.8324)  4 Lu 3.44, 4 Gd 3.46-3.55, 4 Tm 3.53-3.57

## Properties
space-group type	No. 38
volume	241.89	Å³ per cell
ΔH_f (0 K)	0.00	eV per atom
spin magnetization	0.102	Bohr magnetons per cell

[2]
Entry from OQMD via LeMat-Bulk: a relaxed structure of GdTm6Lu (PBE).

Unit cell a=7.0988 b=7.0988 c=5.5221 alpha=90.00 beta=90.00 gamma=120.00
With the nearest neighbours (Å) after each atom.
Atoms (fractional coordinates):
Gd (0.0000, 0.0000, 0.0000)  12 Tm 3.44-3.55
Tm (0.0009, 0.5004, 0.0000)  8 Tm 3.44-3.56, 2 Lu 3.44, 2 Gd 3.55
Tm (0.1670, 0.3341, 0.5000)  8 Tm 3.44-3.56, 2 Gd 3.44, 2 Lu 3.55
Tm (0.1670, 0.8330, 0.5000)  8 Tm 3.44-3.56, 2 Gd 3.44, 2 Lu 3.55
Tm (0.4996, 0.5004, 0.0000)  8 Tm 3.44-3.56, 2 Lu 3.44, 2 Gd 3.55
Tm (0.4996, 0.9991, 0.0000)  8 Tm 3.44-3.56, 2 Lu 3.44, 2 Gd 3.55
Tm (0.6659, 0.8330, 0.5000)  8 Tm 3.44-3.56, 2 Gd 3.44, 2 Lu 3.55
Lu (0.6667, 0.3333, 0.5000)  12 Tm 3.44-3.55

## Properties
space-group type	No. 187
volume	240.99	Å³ per cell
ΔH_f (0 K)	0.00	eV per atom
spin magnetization	0.140	Bohr magnetons per cell

[3]
Entry from OQMD via LeMat-Bulk: a relaxed structure of GdTmLu2 (PBE).

Unit cell a=5.5393 b=7.0864 c=7.0864 alpha=120.00 beta=90.00 gamma=90.00
With the nearest neighbours (Å) after each atom.
Atoms (fractional coordinates):
Gd (0.2500, 0.1667, 0.8333)  8 Lu 3.45-3.54, 4 Tm 3.45-3.54
Gd (0.7500, 0.8333, 0.1667)  8 Lu 3.45-3.54, 4 Tm 3.45-3.54
Tm (0.2500, 0.6657, 0.8314)  6 Lu 3.44-3.56, 2 Tm 3.44, 4 Gd 3.45-3.54
Tm (0.7500, 0.8314, 0.6657)  6 Lu 3.44-3.56, 2 Tm 3.44, 4 Gd 3.45-3.54
Lu (0.2500, 0.1686, 0.3344)  6 Lu 3.44-3.56, 4 Gd 3.45-3.54, 2 Tm 3.52-3.56
Lu (0.2500, 0.6657, 0.3344)  4 Tm 3.44-3.56, 4 Lu 3.44-3.56, 4 Gd 3.45-3.54
Lu (0.7500, 0.3344, 0.1686)  6 Lu 3.44-3.56, 4 Gd 3.45-3.54, 2 Tm 3.52-3.56
Lu (0.7500, 0.3344, 0.6657)  4 Tm 3.44-3.56, 4 Lu 3.44-3.56, 4 Gd 3.45-3.54

## Properties
space-group type	No. 40
volume	240.90	Å³ per cell
ΔH_f (0 K)	0.00	eV per atom
spin magnetization	0.112	Bohr magnetons per cell